The following is a PBE calculation of crystalline CeSmTlPb at its relaxed geometry, from the Alexandria database.

Properties
crystal system	cubic
ΔE_f	-0.35	eV/atom
distance to the lowest polymorph of the same formula	32	meV/atom

Cell: 5.5166 5.5166 5.5166 Å, 60.00 60.00 60.00°
Each line ends with the local moment (μB).
Atoms (fractional coordinates):
Sm (0.2500, 0.2500, 0.2500)  0.09
Pb (0.0000, 0.0000, 0.0000)  0.00
Tl (0.5000, 0.5000, 0.5000)  0.01
Ce (0.7500, 0.7500, 0.7500)  0.95

The following is a PBE calculation of crystalline SmHoGa at its relaxed geometry, from the Alexandria database.

Properties
crystal system	trigonal
ΔE_f	-0.28	eV/atom
distance to the lowest polymorph of the same formula	129	meV/atom

Cell: 3.7087 4.9905 4.9905 Å, 120.00 90.00 90.00°
Atoms (fractional coordinates):
Sm (0.3765, 0.3333, 0.6667)
Ho (0.9149, 0.0000, 0.0000)
Ga (0.7086, 0.6667, 0.3333)

The following is a PBE calculation of crystalline HfSc6Al2 at its relaxed geometry, from the Alexandria database.

Properties
crystal system	orthorhombic
ΔE_f	-0.06	eV/atom

Cell: 4.9693 3.0755 13.0350 Å, 90.00 100.99 90.00°
Each line ends with the local moment (μB).
Atoms (fractional coordinates):
Sc (0.1068, 0.5000, 0.2135)  0.03
Sc (0.5618, 0.0000, 0.1236)  0.09
Sc (0.6817, 0.0000, 0.3634)  0.01
Sc (0.8949, 0.5000, 0.7897)  0.04
Sc (0.2355, 0.5000, 0.4711)  0.01
Sc (0.4581, 0.5000, 0.9162)  0.12
Al (0.9999, 0.0000, 0.9997)  0.00
Al (0.3427, 0.0000, 0.6853)  0.00
Hf (0.7877, 0.5000, 0.5754)  0.01

The following is a PBE calculation of crystalline Cd2PbAu at its relaxed geometry, from the Alexandria database.

Properties
crystal system	tetragonal
ΔE_f	0.01	eV/atom

Cell: 5.6593 5.6593 5.6593 Å, 133.50 133.50 67.87°
Atoms (fractional coordinates):
Au (0.7500, 0.2500, 0.5000)
Pb (0.5000, 0.5000, 0.0000)
Cd (0.0000, 0.0000, 0.0000)
Cd (0.2500, 0.7500, 0.5000)

The following is a PBE calculation of crystalline KMgIn4Ga2 at its relaxed geometry, from the Alexandria database.

Properties
crystal system	trigonal
ΔE_f	-0.03	eV/atom

Cell: 5.0292 5.0292 10.7985 Å, 76.53 76.53 60.00°
Atoms (fractional coordinates):
In (0.1295, 0.1295, 0.6114)
In (0.8705, 0.8705, 0.3886)
In (0.5956, 0.5956, 0.2131)
In (0.4044, 0.4044, 0.7869)
K (0.0000, 0.0000, 0.0000)
Mg (0.5000, 0.5000, 0.5000)
Ga (0.2288, 0.2288, 0.3136)
Ga (0.7712, 0.7712, 0.6864)

The following is a PBE calculation of crystalline Li2Ac2Pd at its relaxed geometry, from the Alexandria database.

Properties
crystal system	orthorhombic
ΔE_f	-0.25	eV/atom

Cell: 4.8231 5.3046 6.3790 Å, 65.43 67.79 90.00°
Atoms (fractional coordinates):
Li (0.7598, 0.5000, 0.0000)
Li (0.2402, 0.5000, 0.0000)
Ac (0.6828, 0.1828, 0.6343)
Ac (0.3172, 0.8172, 0.3657)
Pd (0.0000, 0.0000, 0.0000)

The following is a PBE calculation of crystalline TbEr2O at its relaxed geometry, from the Alexandria database.

Properties
crystal system	trigonal
distance to the lowest polymorph of the same formula	0	meV/atom

Cell: 3.4767 3.4767 8.8673 Å, 78.69 78.69 60.00°
Atoms (fractional coordinates):
Er (0.2806, 0.2806, 0.1581)
Er (0.7194, 0.7194, 0.8419)
O (0.0000, 0.0000, 0.0000)
Tb (0.5000, 0.5000, 0.5000)

The following is a PBE calculation of crystalline Np2GeBi at its relaxed geometry, from the Alexandria database.

Properties
crystal system	tetragonal
ΔE_f	0.06	eV/atom
distance to the lowest polymorph of the same formula	123	meV/atom

Cell: 4.3832 4.7548 4.7548 Å, 90.00 90.00 90.00°
Each line ends with the local moment (μB).
Atoms (fractional coordinates):
Np (0.0000, 0.5000, 0.0000)  4.26
Np (0.0000, 0.0000, 0.5000)  4.26
Ge (0.5000, 0.0000, 0.0000)  -0.06
Bi (0.5000, 0.5000, 0.5000)  -0.05